Material: K4BaCu
Method: DFT, PBE-GGA
State: optimized geometry

Calculated values
Formation energy from the elements   0.458 eV per atom
Total energy   -1.277 eV per atom
Symmetry   F-43m

```
6
Lattice="0.000 5.654 5.654 5.654 0.000 5.654 5.654 5.654 0.000" Properties=species:S:1:pos:R:3 pbc="T T T"
K 4.253 4.253 4.253
K 7.055 7.055 4.253
K 7.055 4.253 7.055
K 4.253 7.055 7.055
Ba 0.000 0.000 0.000
Cu 8.481 8.481 8.481
```